Rb3V2ZnO8 PBE+U relaxed; SG = No. 164; uncorrected energy = -83.15 eV for the cell shown; calculated volume = 239.3 Å³ per cell; mass density = 3.83 g/cm³; magnetization = 0.078 μB per atom
1.0
-1.7589 3.3673 -4.5398
3.3046 -4.8107 -0.9892
-6.5391 -4.3495 -0.6926
Zn O V Rb
1 8 2 3
direct
0.0000 0.0000 0.5000
0.6582 0.8291 0.3423
0.8291 0.1709 0.6577
0.8291 0.6582 0.6577
0.1709 0.8291 0.3423
0.6667 0.3333 0.9459
0.3333 0.6667 0.0541
0.3418 0.1709 0.6577
0.1709 0.3418 0.3423
0.3333 0.6667 0.2709
0.6667 0.3333 0.7291
0.0000 0.0000 0.0000
0.3333 0.6667 0.7001
0.6667 0.3333 0.2999